{"formula": "CdAg2W", "functional": "GGA-PBE", "state": "optimized geometry", "m_tot_mub_per_fu": 1.54, "dft_energy_ev_per_atom": -4.033, "formation_energy_ev_per_atom": 0.84, "lattice_angstrom": [[6.5985, 0.0000, 0.0000], [0.0000, 6.5985, 0.0000], [0.0000, 0.0000, 6.5985]], "species": ["Cd", "Cd", "Cd", "Cd", "Ag", "Ag", "Ag", "Ag", "Ag", "Ag", "Ag", "Ag", "W", "W", "W", "W"], "frac_coords": [[0.0000, 0.0000, 0.0000], [0.0000, 0.5000, 0.5000], [0.5000, 0.0000, 0.5000], [0.5000, 0.5000, 0.0000], [0.0000, 0.0000, 0.5000], [0.0000, 0.5000, 0.0000], [0.2500, 0.2500, 0.2500], [0.2500, 0.7500, 0.7500], [0.5000, 0.0000, 0.0000], [0.5000, 0.5000, 0.5000], [0.7500, 0.2500, 0.7500], [0.7500, 0.7500, 0.2500], [0.2500, 0.2500, 0.7500], [0.2500, 0.7500, 0.2500], [0.7500, 0.2500, 0.2500], [0.7500, 0.7500, 0.7500]]}